Entry 1:
Entry from Alexandria: a relaxed La2Pd2S crystal (GGA-PBE).

polymorph energy (0 for the lowest one) = 60 meV per atom
formation energy without anion corrections = -0.99 eV/atom

Lattice parameters (Å, degrees): 7.8495 7.8495 3.8159 90.00 90.00 90.00
Positions (direct):
1 S 0.0000 0.0000 0.0000
2 S 0.5000 0.5000 0.0000
3 Pd 0.3789 0.8789 0.0000
4 Pd 0.8789 0.6211 0.0000
5 Pd 0.6211 0.1211 0.0000
6 Pd 0.1211 0.3789 0.0000
7 La 0.1847 0.6847 0.5000
8 La 0.6847 0.8153 0.5000
9 La 0.8153 0.3153 0.5000
10 La 0.3153 0.1847 0.5000

Entry 2:
Entry from Alexandria: a relaxed CaTaVSn2 crystal (GGA-PBE).

calculated formation energy = 1.8 eV/f.u.

Lattice parameters (Å, degrees): 5.1557 4.6827 5.1557 90.00 90.00 90.00
Positions (direct):
1 Ca 0.5000 0.5000 0.5000
2 V 0.0000 0.0000 0.0000
3 Sn 0.0000 0.0000 0.5000
4 Sn 0.5000 0.0000 0.0000
5 Ta 0.0000 0.5000 0.0000

| no. | uncorrected energy (Ha/atom) |
| --- | --- |
| 1 | -0.2155 |
| 2 | -0.2143 |